Record 1
HfTaCrOs: relaxed, PBE.

The structure belongs to space group P4mm (No. 99); the cell edges are 3.171, 3.171 and 6.431 Å and the angles 90.00°, 90.00° and 90.00°. The asymmetric unit holds Hf at (0.000, 0.000, 0.000), Ta at (0.000, 0.000, 0.486), Cr at (0.500, 0.500, 0.254) and Os at (0.500, 0.500, 0.735).

As for the crystal system: tetragonal. For the volume, the calculation gives 16.17 Å³ per atom. The uncorrected energy comes out at -10.957 eV per atom. As for the energy relative to the elements: -292.5 meV/atom. The density comes out at 15.45 g/cm3. As for the density of states at the Fermi level: 2.714 states/eV/f.u. The value obtained for the total magnetic moment is 0.40 μB per formula unit.

Record 2
Pm12Co6Ag: relaxed, PBE.

The structure belongs to space group Im-3 (No. 204); the cell edges are 9.905, 9.905 and 9.905 Å and the angles 90.00°, 90.00° and 90.00°. The asymmetric unit holds Pm at (0.000, 0.305, 0.194), Co at (0.000, 0.112, 0.500) and Ag at (0.000, 0.000, 0.000).

As for the crystal system: cubic. For the volume, the calculation gives 25.57 Å³ per atom. The uncorrected energy comes out at -5.518 eV per atom. As for the energy relative to the elements: -123.9 meV/atom. The density comes out at 7.52 g/cm3. As for the density of states at the Fermi level: 14.290 states/eV/f.u. The value obtained for the total magnetic moment is 0.00 μB per formula unit.

Record 3
MnCu3Pd2: relaxed, PBE.

The structure belongs to space group Fmmm (No. 69); the cell edges are 5.350, 8.408 and 14.673 Å and the angles 90.00°, 90.00° and 90.00°. The asymmetric unit holds Mn at (0.000, 0.000, 0.167), Cu at (0.000, 0.000, 0.336), Cu at (0.000, 0.246, 0.418), Pd at (0.249, 0.000, 0.000) and Pd at (0.250, 0.250, 0.250).

As for the crystal system: orthorhombic. For the volume, the calculation gives 13.75 Å³ per atom. The uncorrected energy comes out at -5.362 eV per atom. As for the energy relative to the elements: -54.2 meV/atom. The density comes out at 9.23 g/cm3. As for the density of states at the Fermi level: 2.113 states/eV/f.u. The energy above the lowest structure with this stoichiometry comes out at 54 meV/atom. The value obtained for the total magnetic moment is 4.44 μB per formula unit.

Record 4
SnIrO2F: relaxed, PBE.

The structure belongs to space group P4/mmm (No. 123); the cell edges are 3.922, 3.922 and 4.657 Å and the angles 90.00°, 90.00° and 90.00°. The asymmetric unit holds Sn at (0.000, 0.000, 0.000), Ir at (0.500, 0.500, 0.500), O at (0.000, 0.500, 0.500) and F at (0.500, 0.500, 0.000).

As for the crystal system: tetragonal. For the volume, the calculation gives 14.32 Å³ per atom. The uncorrected energy comes out at -5.549 eV per atom. The density comes out at 8.39 g/cm3. The energy relative to the elements, uncorrected is -0.62 eV per atom. As for the density of states at the Fermi level: 2.439 states/eV/f.u. The value obtained for the total magnetic moment is 0.00 μB per formula unit.

Record 5
Dy2OsPd: relaxed, PBE.

The structure belongs to space group Fm-3m (No. 225); the cell edges are 6.893, 6.893 and 6.893 Å and the angles 90.00°, 90.00° and 90.00°. The asymmetric unit holds Dy at (0.250, 0.250, 0.250), Os at (0.000, 0.000, 0.000) and Pd at (0.000, 0.000, 0.500).

As for the crystal system: cubic. For the volume, the calculation gives 20.47 Å³ per atom. The uncorrected energy comes out at -6.950 eV per atom. As for the energy relative to the elements: -543.0 meV/atom. The density comes out at 12.61 g/cm3. As for the density of states at the Fermi level: 2.187 states/eV/f.u. The energy above the lowest structure with this stoichiometry comes out at 26 meV/atom. The value obtained for the total magnetic moment is 0.00 μB per formula unit.

Record 6
PrNdSe2Cl: relaxed, PBE.

The structure belongs to space group P4/nmm (No. 129, origin choice 2); the cell edges are 4.255, 4.255 and 14.315 Å and the angles 90.00°, 90.00° and 90.00°. The asymmetric unit holds Pr at (0.250, 0.250, 0.145), Nd at (0.250, 0.250, 0.592), Se at (0.250, 0.250, 0.379), Se at (0.250, 0.250, 0.800) and Cl at (0.250, 0.750, 0.000).

As for the crystal system: tetragonal. For the volume, the calculation gives 25.92 Å³ per atom. The uncorrected energy comes out at -5.596 eV per atom. The density comes out at 6.13 g/cm3. The energy relative to the elements, uncorrected is -1.92 eV per atom. As for the density of states at the Fermi level: 1.580 states/eV/f.u. The value obtained for the total magnetic moment is 0.00 μB per formula unit.

Record 7
Cs4DyBr7: relaxed, PBE.

The structure belongs to space group C2/m (No. 12); the cell edges are 18.728, 5.542 and 14.206 Å and the angles 90.00°, 128.24° and 90.00°. The asymmetric unit holds Cs at (0.110, 0.000, 0.262), Cs at (0.232, 0.000, 0.863), Dy at (0.000, 0.500, 0.500), Br at (0.000, 0.000, 0.500), Br at (0.048, 0.500, 0.721), Br at (0.126, 0.000, 0.011) and Br at (0.227, 0.000, 0.607).

As for the crystal system: monoclinic. For the volume, the calculation gives 48.26 Å³ per atom. The uncorrected energy comes out at -3.260 eV per atom. The density comes out at 3.59 g/cm3. The energy relative to the elements, uncorrected is -1.62 eV per atom. As for the density of states at the Fermi level: 0.000 states/eV/f.u. The value obtained for the total magnetic moment is 0.17 μB per formula unit.

Record 8
Sc2Sn2H: relaxed, PBE.

The structure belongs to space group P4/mbm (No. 127); the cell edges are 6.327, 6.327 and 4.933 Å and the angles 90.00°, 90.00° and 90.00°. The asymmetric unit holds Sc at (0.168, 0.332, 0.000), Sn at (0.165, 0.665, 0.500) and H at (0.000, 0.000, 0.000).

As for the crystal system: tetragonal. For the volume, the calculation gives 19.75 Å³ per atom. The uncorrected energy comes out at -5.210 eV per atom. The density comes out at 5.52 g/cm3. As for the density of states at the Fermi level: 3.025 states/eV/f.u. The energy above the lowest structure with this stoichiometry comes out at 60 meV/atom. The value obtained for the total magnetic moment is 0.00 μB per formula unit.

Record 9
La3InCo: relaxed, PBE.

The structure belongs to space group P2_1/c (No. 14); the cell edges are 7.122, 6.887 and 12.346 Å and the angles 90.00°, 106.22° and 90.00°. The asymmetric unit holds La at (0.106, 0.241, 0.462), La at (0.271, 0.031, 0.750), La at (0.361, 0.741, 0.995), In at (0.226, 0.515, 0.738) and Co at (0.050, 0.742, 0.860).

As for the crystal system: monoclinic. For the volume, the calculation gives 29.08 Å³ per atom. The uncorrected energy comes out at -5.174 eV per atom. As for the energy relative to the elements: -248.9 meV/atom. The density comes out at 6.74 g/cm3. As for the density of states at the Fermi level: 4.529 states/eV/f.u. The energy above the lowest structure with this stoichiometry comes out at 43 meV/atom. The value obtained for the total magnetic moment is 0.00 μB per formula unit.

Record 10
NaLiCaGa2: relaxed, PBE.

The structure belongs to space group P4/mmm (No. 123); the cell edges are 4.835, 4.835 and 4.853 Å and the angles 90.00°, 90.00° and 90.00°. The asymmetric unit holds Na at (0.000, 0.000, 0.000), Li at (0.000, 0.000, 0.500), Ca at (0.500, 0.500, 0.000) and Ga at (0.000, 0.500, 0.500).

As for the crystal system: tetragonal. For the volume, the calculation gives 22.69 Å³ per atom. The uncorrected energy comes out at -2.300 eV per atom. As for the energy relative to the elements: -42.5 meV/atom. The density comes out at 3.07 g/cm3. As for the density of states at the Fermi level: 2.488 states/eV/f.u. The value obtained for the total magnetic moment is 0.00 μB per formula unit.

Record 11
TcAsCl2: relaxed, PBE.

The structure belongs to space group P4mm (No. 99); the cell edges are 3.021, 3.021 and 8.603 Å and the angles 90.00°, 90.00° and 90.00°. The asymmetric unit holds Tc at (0.000, 0.000, 0.000), As at (0.500, 0.500, 0.180), Cl at (0.000, 0.000, 0.444) and Cl at (0.500, 0.500, 0.818).

As for the crystal system: tetragonal. For the volume, the calculation gives 19.63 Å³ per atom. The uncorrected energy comes out at -4.590 eV per atom. The density comes out at 5.16 g/cm3. The energy relative to the elements, uncorrected is 0.09 eV per atom. As for the density of states at the Fermi level: 2.833 states/eV/f.u. The energy above the lowest structure with this stoichiometry comes out at 302 meV/atom. The value obtained for the total magnetic moment is 0.00 μB per formula unit.

Record 12
Nb2GeI: relaxed, PBE.

The structure belongs to space group Fm-3m (No. 225); the cell edges are 6.693, 6.693 and 6.693 Å and the angles 90.00°, 90.00° and 90.00°. The asymmetric unit holds Nb at (0.250, 0.250, 0.250), Ge at (0.000, 0.000, 0.000) and I at (0.000, 0.000, 0.500).

As for the crystal system: cubic. For the volume, the calculation gives 18.74 Å³ per atom. The uncorrected energy comes out at -6.298 eV per atom. The density comes out at 8.54 g/cm3. The energy relative to the elements, uncorrected is 0.28 eV per atom. As for the density of states at the Fermi level: 5.518 states/eV/f.u. The energy above the lowest structure with this stoichiometry comes out at 0 meV/atom. The value obtained for the total magnetic moment is 0.00 μB per formula unit.